Density functional theory data (PBE) for a geometry-optimized Eu2GdBi structure.

Values from the calculation:
The total energy comes out at -0.3680 hartree per atom.

Structure (CIF):
```
data_Eu2GdBi
_chemical_formula_sum 'Eu2 Gd1 Bi1'
_cell_length_a 4.973
_cell_length_b 4.973
_cell_length_c 5.208
_cell_angle_alpha 90.00
_cell_angle_beta 90.00
_cell_angle_gamma 90.00
_symmetry_space_group_name_H-M 'P 4/m m m'
_symmetry_Int_Tables_number 123
_symmetry_space_group_name_Hall '-P 4 2'
loop_
_atom_site_label
_atom_site_type_symbol
_atom_site_fract_x
_atom_site_fract_y
_atom_site_fract_z
Eu1 Eu 0.000 0.500 0.000
Gd1 Gd 0.000 0.000 0.500
Bi1 Bi 0.500 0.500 0.500
```

---

Density functional theory data (PBE) for a geometry-optimized EuGd2Bi structure.

Values from the calculation:
The total energy comes out at -0.4026 hartree per atom. The energy above the most stable polymorph in this dataset comes out at 0 meV/atom.

Structure (CIF):
```
data_EuGd2Bi
_chemical_formula_sum 'Eu1 Gd2 Bi1'
_cell_length_a 4.121
_cell_length_b 4.121
_cell_length_c 7.729
_cell_angle_alpha 90.00
_cell_angle_beta 90.00
_cell_angle_gamma 90.00
_symmetry_space_group_name_H-M 'P 4/m m m'
_symmetry_Int_Tables_number 123
_symmetry_space_group_name_Hall '-P 4 2'
loop_
_atom_site_label
_atom_site_type_symbol
_atom_site_fract_x
_atom_site_fract_y
_atom_site_fract_z
Eu1 Eu 0.000 0.000 0.000
Gd1 Gd 0.500 0.500 0.287
Bi1 Bi 0.000 0.000 0.500
```

---

Density functional theory data (PBE) for a geometry-optimized EuGd2Bi structure.

Values from the calculation:
The total energy comes out at -0.3971 hartree per atom. The energy above the most stable polymorph in this dataset comes out at 150 meV/atom.

Structure (CIF):
```
data_EuGd2Bi
_chemical_formula_sum 'Eu4 Gd8 Bi4'
_cell_length_a 7.897
_cell_length_b 7.897
_cell_length_c 7.897
_cell_angle_alpha 90.00
_cell_angle_beta 90.00
_cell_angle_gamma 90.00
_symmetry_space_group_name_H-M 'F m -3 m'
_symmetry_Int_Tables_number 225
_symmetry_space_group_name_Hall '-F 4 2 3'
loop_
_atom_site_label
_atom_site_type_symbol
_atom_site_fract_x
_atom_site_fract_y
_atom_site_fract_z
Eu1 Eu 0.000 0.000 0.000
Gd1 Gd 0.250 0.250 0.250
Bi1 Bi 0.000 0.000 0.500
```

---

Density functional theory data (PBE) for a geometry-optimized EuGdHgBi structure.

Values from the calculation:
The total energy comes out at -0.2834 hartree per atom.

Structure (CIF):
```
data_EuGdHgBi
_chemical_formula_sum 'Eu4 Gd4 Hg4 Bi4'
_cell_length_a 7.830
_cell_length_b 7.830
_cell_length_c 7.830
_cell_angle_alpha 90.00
_cell_angle_beta 90.00
_cell_angle_gamma 90.00
_symmetry_space_group_name_H-M 'F -4 3 m'
_symmetry_Int_Tables_number 216
_symmetry_space_group_name_Hall 'F -4 2 3'
loop_
_atom_site_label
_atom_site_type_symbol
_atom_site_fract_x
_atom_site_fract_y
_atom_site_fract_z
Eu1 Eu 0.000 0.000 0.000
Gd1 Gd 0.000 0.000 0.500
Hg1 Hg 0.250 0.250 0.750
Bi1 Bi 0.250 0.250 0.250
```

---

Density functional theory data (PBE) for a geometry-optimized LiEuGdBi structure.

Values from the calculation:
The total energy comes out at -0.2917 hartree per atom.

Structure (CIF):
```
data_LiEuGdBi
_chemical_formula_sum 'Li4 Eu4 Gd4 Bi4'
_cell_length_a 7.741
_cell_length_b 7.741
_cell_length_c 7.741
_cell_angle_alpha 90.00
_cell_angle_beta 90.00
_cell_angle_gamma 90.00
_symmetry_space_group_name_H-M 'F -4 3 m'
_symmetry_Int_Tables_number 216
_symmetry_space_group_name_Hall 'F -4 2 3'
loop_
_atom_site_label
_atom_site_type_symbol
_atom_site_fract_x
_atom_site_fract_y
_atom_site_fract_z
Li1 Li 0.000 0.000 0.000
Eu1 Eu 0.250 0.250 0.750
Gd1 Gd 0.250 0.250 0.250
Bi1 Bi 0.000 0.000 0.500
```

---

Density functional theory data (PBE) for a geometry-optimized EuGdBiPd structure.

Values from the calculation:
The total energy comes out at -0.3334 hartree per atom.

Structure (CIF):
```
data_EuGdBiPd
_chemical_formula_sum 'Eu4 Gd4 Bi4 Pd4'
_cell_length_a 7.564
_cell_length_b 7.564
_cell_length_c 7.564
_cell_angle_alpha 90.00
_cell_angle_beta 90.00
_cell_angle_gamma 90.00
_symmetry_space_group_name_H-M 'F -4 3 m'
_symmetry_Int_Tables_number 216
_symmetry_space_group_name_Hall 'F -4 2 3'
loop_
_atom_site_label
_atom_site_type_symbol
_atom_site_fract_x
_atom_site_fract_y
_atom_site_fract_z
Eu1 Eu 0.000 0.000 0.000
Gd1 Gd 0.000 0.000 0.500
Bi1 Bi 0.250 0.250 0.750
Pd1 Pd 0.250 0.250 0.250
```

---

Density functional theory data (PBE) for a geometry-optimized EuGdBiSb structure.

Values from the calculation:
The uncorrected formation energy comes out at -3.1 eV/f.u. The total energy comes out at -0.3254 hartree per atom.

Structure (CIF):
```
data_EuGdBiSb
_chemical_formula_sum 'Eu4 Gd4 Bi4 Sb4'
_cell_length_a 7.873
_cell_length_b 7.873
_cell_length_c 7.873
_cell_angle_alpha 90.00
_cell_angle_beta 90.00
_cell_angle_gamma 90.00
_symmetry_space_group_name_H-M 'F -4 3 m'
_symmetry_Int_Tables_number 216
_symmetry_space_group_name_Hall 'F -4 2 3'
loop_
_atom_site_label
_atom_site_type_symbol
_atom_site_fract_x
_atom_site_fract_y
_atom_site_fract_z
Eu1 Eu 0.000 0.000 0.000
Gd1 Gd 0.000 0.000 0.500
Bi1 Bi 0.250 0.250 0.250
Sb1 Sb 0.250 0.250 0.750
```

---

Density functional theory data (PBE) for a geometry-optimized EuGdSnBi structure.

Values from the calculation:
The total energy comes out at -0.3186 hartree per atom.

Structure (CIF):
```
data_EuGdSnBi
_chemical_formula_sum 'Eu4 Gd4 Sn4 Bi4'
_cell_length_a 7.878
_cell_length_b 7.878
_cell_length_c 7.878
_cell_angle_alpha 90.00
_cell_angle_beta 90.00
_cell_angle_gamma 90.00
_symmetry_space_group_name_H-M 'F -4 3 m'
_symmetry_Int_Tables_number 216
_symmetry_space_group_name_Hall 'F -4 2 3'
loop_
_atom_site_label
_atom_site_type_symbol
_atom_site_fract_x
_atom_site_fract_y
_atom_site_fract_z
Eu1 Eu 0.000 0.000 0.000
Gd1 Gd 0.000 0.000 0.500
Sn1 Sn 0.250 0.250 0.750
Bi1 Bi 0.250 0.250 0.250
```

---

Density functional theory data (PBE) for a geometry-optimized Eu2GeBi structure.

Values from the calculation:
The total energy comes out at -0.2908 hartree per atom. The energy above the most stable polymorph in this dataset comes out at 0 meV/atom.

Structure (CIF):
```
data_Eu2GeBi
_chemical_formula_sum 'Eu2 Ge1 Bi1'
_cell_length_a 3.598
_cell_length_b 3.598
_cell_length_c 8.933
_cell_angle_alpha 90.00
_cell_angle_beta 90.00
_cell_angle_gamma 90.00
_symmetry_space_group_name_H-M 'P 4/m m m'
_symmetry_Int_Tables_number 123
_symmetry_space_group_name_Hall '-P 4 2'
loop_
_atom_site_label
_atom_site_type_symbol
_atom_site_fract_x
_atom_site_fract_y
_atom_site_fract_z
Eu1 Eu 0.000 0.000 0.220
Ge1 Ge 0.500 0.500 0.000
Bi1 Bi 0.500 0.500 0.500
```

---

Density functional theory data (PBE) for a geometry-optimized EuGeBi structure.

Values from the calculation:
The total energy comes out at -0.2452 hartree per atom.

Structure (CIF):
```
data_EuGeBi
_chemical_formula_sum 'Eu1 Ge1 Bi1'
_cell_length_a 4.9585
_cell_length_b 4.9585
_cell_length_c 4.2730
_cell_angle_alpha 90.00
_cell_angle_beta 90.00
_cell_angle_gamma 120.00
_symmetry_space_group_name_H-M 'P -6 m 2'
_symmetry_Int_Tables_number 187
_symmetry_space_group_name_Hall 'P -6 2'
loop_
_atom_site_label
_atom_site_type_symbol
_atom_site_fract_x
_atom_site_fract_y
_atom_site_fract_z
Eu1 Eu 0.0000 0.0000 0.0000
Ge1 Ge 0.6667 0.3333 0.5000
Bi1 Bi 0.3333 0.6667 0.5000
```

---

Density functional theory data (PBE) for a geometry-optimized Eu2GeBi structure.

Values from the calculation:
The total energy comes out at -0.2896 hartree per atom. The energy above the most stable polymorph in this dataset comes out at 34 meV/atom.

Structure (CIF):
```
data_Eu2GeBi
_chemical_formula_sum 'Eu2 Ge1 Bi1'
_cell_length_a 5.124
_cell_length_b 5.124
_cell_length_c 4.426
_cell_angle_alpha 90.00
_cell_angle_beta 90.00
_cell_angle_gamma 90.00
_symmetry_space_group_name_H-M 'P 4/m m m'
_symmetry_Int_Tables_number 123
_symmetry_space_group_name_Hall '-P 4 2'
loop_
_atom_site_label
_atom_site_type_symbol
_atom_site_fract_x
_atom_site_fract_y
_atom_site_fract_z
Eu1 Eu 0.000 0.500 0.000
Ge1 Ge 0.000 0.000 0.500
Bi1 Bi 0.500 0.500 0.500
```

---

Density functional theory data (PBE) for a geometry-optimized EuGe2Bi structure.

Values from the calculation:
The total energy comes out at -0.2264 hartree per atom.

Structure (CIF):
```
data_EuGe2Bi
_chemical_formula_sum 'Eu1 Ge2 Bi1'
_cell_length_a 4.729
_cell_length_b 4.729
_cell_length_c 4.419
_cell_angle_alpha 90.00
_cell_angle_beta 90.00
_cell_angle_gamma 90.00
_symmetry_space_group_name_H-M 'P 4/m m m'
_symmetry_Int_Tables_number 123
_symmetry_space_group_name_Hall '-P 4 2'
loop_
_atom_site_label
_atom_site_type_symbol
_atom_site_fract_x
_atom_site_fract_y
_atom_site_fract_z
Eu1 Eu 0.000 0.000 0.000
Ge1 Ge 0.000 0.500 0.500
Bi1 Bi 0.500 0.500 0.000
```

---

Among the records above, which one has the highest total energy? EuGe2Bi